[1]
Density functional theory data (GGA-PBE) for a geometry-optimized NbZnCo structure.

Calculated values
* total moment: 1.3 μB/cell
* DFT formation energy: 0.154 eV per atom
* mass density: 7.6 g/cm³
* volume: 47.7 Å³/cell
* total energy: -18.002 eV/cell

Unit cell a=4.071 b=4.071 c=4.071 alpha=60.00 beta=60.00 gamma=60.00
Positions (direct):
Co: 0.000 0.000 0.000
Nb: 0.250 0.250 0.250
Zn: 0.750 0.750 0.750

[2]
Density functional theory data (GGA-PBE) for a geometry-optimized HfZrFe2 structure.

Calculated values
* total moment: 3.2 μB/cell
* DFT formation energy: 0.108 eV per atom
* mass density: 10.0 g/cm³
* volume: 63.1 Å³/cell
* total energy: -34.689 eV/cell

Unit cell a=4.469 b=4.469 c=4.469 alpha=60.00 beta=60.00 gamma=60.00
Site moments in Bohr magnetons follow the coordinates.
Positions (direct):
Fe: 0.000 0.000 0.000  2.07
Fe: 0.250 0.250 0.250  2.01
Hf: 0.500 0.500 0.500  -0.39
Zr: 0.750 0.750 0.750  -0.39

[3]
Density functional theory data (GGA-PBE) for a geometry-optimized BaGdNO structure.

Calculated values
* total moment: 0.0 μB/cell
* mass density: 6.0 g/cm³
* volume: 357.4 Å³/cell
* total energy: -108.595 eV/cell

Unit cell a=6.818 b=8.517 c=6.154 alpha=90.00 beta=90.00 gamma=90.00
Positions (direct):
Ba: 0.074 0.131 0.010
Ba: 0.574 0.869 0.010
Ba: 0.426 0.131 0.510
Ba: 0.926 0.869 0.510
Gd: 0.914 0.391 0.494
Gd: 0.414 0.609 0.494
Gd: 0.586 0.391 0.994
Gd: 0.086 0.609 0.994
N: 0.462 0.168 0.067
N: 0.962 0.832 0.067
N: 0.038 0.168 0.567
N: 0.538 0.832 0.567
O: 0.892 0.416 0.131
O: 0.392 0.584 0.131
O: 0.608 0.416 0.631
O: 0.108 0.584 0.631

[4]
Density functional theory data (GGA-PBE) for a geometry-optimized Li15Hg structure.

Calculated values
* mass density: 1.9 g/cm³
* volume: 269.5 Å³/cell
* total energy: -29.601 eV/cell

Unit cell a=6.460 b=6.460 c=6.460 alpha=90.00 beta=90.00 gamma=90.00
Positions (direct):
Hg: 0.000 0.000 0.000
Li: 0.500 0.000 0.000
Li: 0.000 0.500 0.000
Li: 0.500 0.500 0.000
Li: 0.246 0.246 0.246
Li: 0.754 0.246 0.246
Li: 0.246 0.754 0.246
Li: 0.754 0.754 0.246
Li: 0.000 0.000 0.500
Li: 0.500 0.000 0.500
Li: 0.000 0.500 0.500
Li: 0.500 0.500 0.500
Li: 0.246 0.246 0.754
Li: 0.754 0.246 0.754
Li: 0.246 0.754 0.754
Li: 0.754 0.754 0.754

[5]
Density functional theory data (GGA-PBE) for a geometry-optimized RbSrSmS3 structure.

Calculated values
* total moment: 0.0 μB/cell
* mass density: 3.5 g/cm³
* volume: 392.8 Å³/cell
* total energy: -61.004 eV/cell

Unit cell a=9.489 b=9.489 c=11.797 alpha=118.91 beta=118.91 gamma=25.20
Positions (direct):
Rb: 0.550 0.550 0.248
Rb: 0.450 0.450 0.752
S: 0.000 0.000 0.000
S: 0.345 0.345 0.118
S: 0.714 0.714 0.241
S: 0.500 0.500 0.500
S: 0.286 0.286 0.759
S: 0.655 0.655 0.882
Sm: 0.168 0.168 0.065
Sm: 0.832 0.832 0.935
Sr: 0.885 0.885 0.325
Sr: 0.115 0.115 0.675

[6]
Density functional theory data (GGA-PBE) for a geometry-optimized CdPd2Au5 structure.

Calculated values
* DFT formation energy: -0.181 eV per atom
* mass density: 15.4 g/cm³
* volume: 281.6 Å³/cell
* total energy: -58.047 eV/cell

Unit cell a=5.870 b=11.728 c=4.091 alpha=90.00 beta=90.00 gamma=90.00
Positions (direct):
Au: 0.000 0.000 0.000
Au: 0.507 0.250 0.000
Au: 0.007 0.250 0.000
Au: 0.500 0.500 0.000
Au: 0.993 0.750 0.000
Au: 0.493 0.750 0.000
Au: 0.757 0.127 0.500
Au: 0.257 0.373 0.500
Au: 0.743 0.627 0.500
Au: 0.243 0.873 0.500
Cd: 0.500 0.000 0.000
Cd: 0.000 0.500 0.000
Pd: 0.255 0.124 0.500
Pd: 0.755 0.376 0.500
Pd: 0.245 0.624 0.500
Pd: 0.745 0.876 0.500

[7]
Density functional theory data (GGA-PBE) for a geometry-optimized Na2P2Ir structure.

Calculated values
* total moment: 0.0 μB/cell
* mass density: 5.8 g/cm³
* volume: 173.0 Å³/cell
* total energy: -50.332 eV/cell

Unit cell a=5.991 b=5.991 c=4.820 alpha=90.00 beta=90.00 gamma=90.00
Positions (direct):
Ir: 0.000 0.000 0.000
Ir: 0.500 0.500 0.000
Na: 0.685 0.185 0.500
Na: 0.185 0.315 0.500
Na: 0.815 0.685 0.500
Na: 0.315 0.815 0.500
P: 0.369 0.131 0.000
P: 0.869 0.369 0.000
P: 0.131 0.631 0.000
P: 0.631 0.869 0.000

[8]
Density functional theory data (GGA-PBE) for a geometry-optimized DyGaNO structure.

Calculated values
* total moment: 0.0 μB/cell
* mass density: 7.7 g/cm³
* volume: 227.5 Å³/cell
* total energy: -105.687 eV/cell

Unit cell a=5.033 b=6.364 c=7.103 alpha=90.00 beta=90.00 gamma=90.00
Positions (direct):
Dy: 0.020 0.565 0.157
Dy: 0.520 0.935 0.157
Dy: 0.020 0.065 0.843
Dy: 0.520 0.435 0.843
Ga: 0.024 0.104 0.352
Ga: 0.524 0.396 0.352
Ga: 0.024 0.604 0.648
Ga: 0.524 0.896 0.648
N: 0.492 0.583 0.131
N: 0.992 0.917 0.131
N: 0.492 0.083 0.869
N: 0.992 0.417 0.869
O: 0.666 0.088 0.455
O: 0.166 0.412 0.455
O: 0.666 0.588 0.545
O: 0.166 0.912 0.545

- The lowest volume belongs to which entry?
  NbZnCo

- The lowest volume belongs to which entry?
  NbZnCo